BaMn2Co, relaxed, DFT GGA-PBE; formation energy from the elements = 1.5409 eV per atom; space-group type = No. 225; energy above the most stable polymorph in this dataset = 1161.2 meV/atom
1.0
2.7033 -3.2102 -1.6044
-1.0857 -4.3268 0.5367
-1.2790 -2.4512 -3.5417
Mn Co Ba
2 1 1
Cartesian
0.0847 -2.4971 -1.1524 Mn
0.2540 -7.4912 -3.4571 Mn
0.0000 0.0000 0.0000 Co
0.1693 -4.9941 -2.3047 Ba

***

BaMnCo, relaxed, DFT GGA-PBE; formation energy from the elements = 0.5914 eV per atom; space-group type = No. 107; energy above the most stable polymorph in this dataset = 294.9 meV/atom
1.0
6.2017 -0.0012 -0.0062
4.3359 4.4342 0.0062
-5.2649 -2.2257 2.4059
Ba Co Mn
1 1 1
Cartesian
10.5155 4.4236 0.0000 Ba
2.9289 1.2321 0.0000 Co
7.6309 3.2101 0.0000 Mn

***

BaMn2Co, relaxed, DFT GGA-PBE; formation energy from the elements = 0.5482 eV per atom; space-group type = No. 123; energy above the most stable polymorph in this dataset = 168.4 meV/atom
1.0
-1.0260 -1.2695 -2.6797
0.0328 -2.8402 1.3330
-7.6683 1.0549 2.4363
Ba Co Mn
1 1 2
Cartesian
-2.4137 -1.7911 -0.0643 Ba
-6.2478 -1.2637 1.1539 Co
-6.9941 0.9621 2.2221 Mn
-4.5083 0.6202 1.4323 Mn

***

BaMn2Co, relaxed, DFT GGA-PBE; formation energy from the elements = 0.5884 eV per atom; space-group type = No. 99; energy above the most stable polymorph in this dataset = 208.6 meV/atom
1.0
-3.1644 -0.8757 -0.8149
0.0719 -2.4401 2.3430
-2.6070 4.7464 5.0231
Ba Co Mn
1 1 2
Cartesian
-1.3625 2.4806 2.6253 Ba
-3.7565 2.3662 5.0228 Co
-2.5104 4.5705 4.8371 Mn
-1.9806 -0.8672 1.6009 Mn

***

BaMnCo, relaxed, DFT GGA-PBE; formation energy from the elements = 0.4676 eV per atom; space-group type = No. 1; energy above the most stable polymorph in this dataset = 171.2 meV/atom
1.0
-0.0790 3.4901 1.3163
-9.3915 -0.0291 4.7421
1.5763 -1.1408 3.1121
Mn Co Ba
2 2 2
Cartesian
-1.0279 -0.2342 4.5615 Mn
-0.7271 0.5394 2.5285 Mn
0.1449 1.7638 4.6958 Co
-1.9835 2.0825 3.7263 Co
-6.9395 1.1051 8.0607 Ba
-4.2254 0.5797 4.3322 Ba

***

BaMnCo3, relaxed, DFT GGA-PBE; formation energy from the elements = 2.7747 eV per atom; space-group type = No. 221; energy above the most stable polymorph in this dataset = 1916.2 meV/atom
1.0
-2.4597 1.5106 -3.7451
1.4750 -3.7461 -2.4798
-3.7593 -2.4582 1.4775
Mn Co Ba
1 3 1
Cartesian
-2.3720 -2.3469 -2.3737 Mn
0.7375 -1.8731 -1.2399 Co
-1.8797 -1.2291 0.7388 Co
-1.2299 0.7553 -1.8726 Co
0.0000 0.0000 0.0000 Ba

***

BaMn2Co, relaxed, DFT GGA-PBE; formation energy from the elements = 0.7405 eV per atom; space-group type = No. 71; energy above the most stable polymorph in this dataset = 360.8 meV/atom
1.0
-4.8074 1.5166 2.9935
-2.7864 -4.3809 2.7233
4.8666 3.2245 -0.5395
Ba Co Mn
1 1 2
Cartesian
-1.8688 1.6545 2.6562 Ba
-0.8583 -1.2942 2.5211 Co
-0.4237 -0.1598 0.3190 Mn
-3.3731 -1.2723 2.5394 Mn

***

BaMnCo, relaxed, DFT GGA-PBE; formation energy from the elements = 1.2092 eV per atom; space-group type = No. 194; energy above the most stable polymorph in this dataset = 912.7 meV/atom
1.0
-0.9344 -3.2173 -4.3310
0.2488 -2.1712 5.0206
-8.2196 1.1623 0.9100
Mn Co Ba
2 2 2
Cartesian
-2.0549 0.2906 0.2275 Mn
-6.1647 0.8717 0.6825 Mn
0.0000 0.0000 0.0000 Co
-4.1098 0.5812 0.4550 Co
-2.2005 -2.2294 2.1309 Ba
-6.7048 -1.9969 -0.5314 Ba

***

BaMnCo, relaxed, DFT GGA-PBE; formation energy from the elements = 0.4224 eV per atom; space-group type = No. 2; energy above the most stable polymorph in this dataset = 126.0 meV/atom
1.0
4.1486 -0.0096 0.3628
2.2161 9.2364 -1.1163
1.5959 -7.7510 5.3598
Mn Co Ba
2 2 2
Cartesian
2.9605 -1.2231 3.7184 Mn
2.8767 -3.5748 4.6174 Mn
4.9929 -2.4038 4.3495 Co
5.3032 6.0899 1.1113 Co
1.1029 -0.6131 1.0795 Ba
3.1386 3.5661 1.8963 Ba

***

BaMnCo, relaxed, DFT GGA-PBE; formation energy from the elements = 0.5222 eV per atom; space-group type = No. 62; energy above the most stable polymorph in this dataset = 225.7 meV/atom
1.0
-0.7089 6.8508 -1.0735
-4.0378 -0.2673 0.9607
2.4009 1.9130 10.6234
Mn Co Ba
4 4 4
Cartesian
1.1868 2.0109 10.0491 Mn
-2.3243 3.7405 4.7759 Mn
-3.5325 6.4857 0.4615 Mn
-0.0214 4.7561 5.7347 Mn
-0.1838 2.8125 4.5115 Co
-0.9319 2.9563 10.4099 Co
-2.1619 5.6841 5.9991 Co
-1.4138 5.5403 0.1007 Co
-0.7825 6.5162 3.0254 Ba
-1.4402 5.7862 9.0608 Ba
-1.5632 1.9804 7.4852 Ba
-0.9055 2.7104 1.4498 Ba

***

BaMn2Co, relaxed, DFT GGA-PBE; formation energy from the elements = 0.8232 eV per atom; space-group type = No. 10; energy above the most stable polymorph in this dataset = 443.5 meV/atom
1.0
-4.0755 -0.6745 -0.9210
0.6029 -3.3268 -0.2316
-0.9454 -1.9358 5.6008
Ba Co Mn
1 1 2
Cartesian
-2.1234 -1.6529 0.8818 Ba
-2.2946 -4.2842 3.5664 Co
-0.2209 -4.8685 4.5428 Mn
-0.2928 -3.0255 3.5111 Mn

***

BaMn2Co, relaxed, DFT GGA-PBE; formation energy from the elements = 1.0356 eV per atom; space-group type = No. 12; energy above the most stable polymorph in this dataset = 655.8 meV/atom
1.0
-3.8468 -1.6925 2.7184
2.8379 -4.1020 -3.0804
1.9434 -1.3393 2.0472
Ba Co Mn
1 1 2
Cartesian
2.3906 -2.7207 -0.5166 Ba
-0.5045 -2.8973 -0.1810 Co
0.0000 0.0000 0.0000 Mn
-0.9517 -1.5159 2.3828 Mn

***

- Number 3 is which compound?
  BaMn2Co

***

Repeat the sixth record exactly.
BaMnCo3, relaxed, DFT GGA-PBE; formation energy from the elements = 2.7747 eV per atom; space-group type = No. 221; energy above the most stable polymorph in this dataset = 1916.2 meV/atom
1.0
-2.4597 1.5106 -3.7451
1.4750 -3.7461 -2.4798
-3.7593 -2.4582 1.4775
Mn Co Ba
1 3 1
Cartesian
-2.3720 -2.3469 -2.3737 Mn
0.7375 -1.8731 -1.2399 Co
-1.8797 -1.2291 0.7388 Co
-1.2299 0.7553 -1.8726 Co
0.0000 0.0000 0.0000 Ba

***

- Look up the energy above the most stable polymorph in this dataset of the tenth one.
  225.7 meV/atom